Here is a geometry-optimized Pm2As4PdPt3 structure from Alexandria. Energies are from GGA-PBE.

The structure belongs to space group P-4m2 (No. 115); the cell edges are 4.460, 4.460 and 9.877 Å and the angles 90.00°, 90.00° and 90.00°. The distinct sites, in fractional coordinates, are Pm at (0.000, 0.500, 0.249), As at (0.000, 0.000, 0.500), As at (0.000, 0.500, 0.870), As at (0.500, 0.500, 0.500), Pd at (0.500, 0.500, 0.000), Pt at (0.000, 0.000, 0.000) and Pt at (0.000, 0.500, 0.621).

As for the formation energy: -0.8846 eV/atom. The calculation puts the energy at -60.3 eV/cell.